VASP calculation (PBE) on a relaxed structure of LiGdAlGa.

Structure (POSCAR):
```
LiGdAlGa
1.0
4.8659 0.0000 0.0000
2.4329 4.2140 0.0000
2.4329 1.4047 3.9730
Gd Al Ga Li
1 1 1 1
direct
0.5000 0.5000 0.5000
0.7500 0.7500 0.7500
0.2500 0.2500 0.2500
0.0000 0.0000 0.0000
```

Summary:
Calculated total energy, Ry/atom: -0.4429
Crystal system: cubic
Calculated formation energy, eV per atom: -0.3350